DFT (PBEsol) results for crystalline YReAu2 at its relaxed geometry.

Lattice parameters (Å, degrees): 5.0042 5.0042 2.9801 90.00 90.00 108.02
Element x y z (fractional)
1 Y 0.0000 0.0000 0.0000
2 Re 0.5000 0.5000 0.0000
3 Au 0.0000 0.5000 0.5000
4 Au 0.5000 0.0000 0.5000

Raw total energy in eV per atom: -6.967
Total magnetic moment in μB per formula unit: 0.00
Formation energy from the elements in eV per atom: 0.0338

***

DFT (PBEsol) results for crystalline Ce6Ni20As13 at its relaxed geometry.

Lattice parameters (Å, degrees): 12.9736 12.9736 3.8950 90.00 90.00 120.00
Element x y z (fractional)
1 Ce 0.0566 0.8551 0.0000
2 Ce 0.1449 0.2015 0.0000
3 Ce 0.5186 0.1362 0.5000
4 Ce 0.6176 0.4814 0.5000
5 Ce 0.7985 0.9434 0.0000
6 Ce 0.8638 0.3824 0.5000
7 Ni 0.0000 0.0000 0.5000
8 Ni 0.0206 0.5958 0.0000
9 Ni 0.0854 0.3423 0.5000
10 Ni 0.1349 0.5539 0.5000
11 Ni 0.2509 0.7282 0.0000
12 Ni 0.2569 0.9146 0.5000
13 Ni 0.2718 0.5227 0.0000
14 Ni 0.3100 0.0796 0.0000
15 Ni 0.3568 0.2579 0.5000
16 Ni 0.4042 0.4248 0.0000
17 Ni 0.4190 0.8651 0.5000
18 Ni 0.4461 0.5810 0.5000
19 Ni 0.4773 0.7491 0.0000
20 Ni 0.5752 0.9794 0.0000
21 Ni 0.6577 0.7431 0.5000
22 Ni 0.6667 0.3333 0.0000
23 Ni 0.7421 0.0989 0.5000
24 Ni 0.7696 0.6900 0.0000
25 Ni 0.9011 0.6432 0.5000
26 Ni 0.9204 0.2304 0.0000
27 As 0.0599 0.4340 0.0000
28 As 0.1060 0.7142 0.5000
29 As 0.1998 0.0589 0.5000
30 As 0.2858 0.3918 0.5000
31 As 0.3333 0.6667 0.5000
32 As 0.3740 0.9401 0.0000
33 As 0.4670 0.2818 0.0000
34 As 0.5660 0.6260 0.0000
35 As 0.6082 0.8940 0.5000
36 As 0.7182 0.1852 0.0000
37 As 0.8148 0.5330 0.0000
38 As 0.8591 0.8002 0.5000
39 As 0.9411 0.1409 0.5000

Raw total energy in eV per atom: -6.593
Total magnetic moment in μB per formula unit: 0.00
Formation energy from the elements in eV per atom: -0.7188

***

DFT (PBEsol) results for crystalline Ba3Ti4Sb4O21 at its relaxed geometry.

Lattice parameters (Å, degrees): 9.0030 9.0030 11.9008 90.36 90.36 60.14
Element x y z (fractional)
1 Ba 0.0939 0.9061 0.7500
2 Ba 0.0969 0.5006 0.2472
3 Ba 0.4994 0.9031 0.2528
4 Ba 0.5006 0.0969 0.7472
5 Ba 0.9031 0.4994 0.7528
6 Ba 0.9061 0.0939 0.2500
7 Ti 0.2493 0.5042 0.9008
8 Ti 0.2497 0.7460 0.0978
9 Ti 0.2540 0.7503 0.4022
10 Ti 0.4958 0.7507 0.5992
11 Ti 0.5042 0.2493 0.4008
12 Ti 0.7460 0.2497 0.5978
13 Ti 0.7503 0.2540 0.9022
14 Ti 0.7507 0.4958 0.0992
15 Sb 0.1666 0.1666 0.0000
16 Sb 0.1666 0.1666 0.5000
17 Sb 0.2601 0.5002 0.5862
18 Sb 0.5002 0.2601 0.0862
19 Sb 0.4998 0.7399 0.9138
20 Sb 0.7399 0.4998 0.4138
21 Sb 0.8334 0.8334 0.0000
22 Sb 0.8334 0.8334 0.5000
23 O 0.0116 0.6697 0.6068
24 O 0.0177 0.6732 0.8974
25 O 0.0179 0.8092 0.1043
26 O 0.0196 0.8145 0.4020
27 O 0.1820 0.3300 0.6074
28 O 0.1847 0.3344 0.9028
29 O 0.1855 0.9804 0.0980
30 O 0.1908 0.9821 0.3957
31 O 0.2873 0.4998 0.7500
32 O 0.2895 0.7105 0.2500
33 O 0.2954 0.7030 0.5737
34 O 0.2972 0.4998 0.4210
35 O 0.2970 0.7046 0.9263
36 O 0.2986 0.4987 0.0728
37 O 0.3268 0.9822 0.6026
38 O 0.3300 0.1820 0.1074
39 O 0.3303 0.9884 0.8932
40 O 0.3344 0.1847 0.4028
41 O 0.4987 0.2986 0.5728
42 O 0.4998 0.2873 0.2500
43 O 0.4998 0.2972 0.9210
44 O 0.5002 0.7028 0.0790
45 O 0.5002 0.7127 0.7500
46 O 0.5013 0.7014 0.4272
47 O 0.6656 0.8153 0.5972
48 O 0.6697 0.0116 0.1068
49 O 0.6700 0.8180 0.8926
50 O 0.6732 0.0177 0.3974
51 O 0.7014 0.5013 0.9272
52 O 0.7030 0.2954 0.0737
53 O 0.7028 0.5002 0.5790
54 O 0.7046 0.2970 0.4263
55 O 0.7105 0.2895 0.7500
56 O 0.7127 0.5002 0.2500
57 O 0.8092 0.0179 0.6043
58 O 0.8145 0.0196 0.9020
59 O 0.8153 0.6656 0.0972
60 O 0.8180 0.6700 0.3926
61 O 0.9804 0.1855 0.5980
62 O 0.9821 0.1908 0.8957
63 O 0.9822 0.3268 0.1026
64 O 0.9884 0.3303 0.3932

Raw total energy in eV per atom: -7.688
Total magnetic moment in μB per formula unit: 0.00
Energy relative to the elements, uncorrected in eV per atom: -2.432

***

DFT (PBEsol) results for crystalline CaRe2Mo at its relaxed geometry.

Lattice parameters (Å, degrees): 5.3891 5.3891 5.3891 146.75 128.23 62.93
Element x y z (fractional)
1 Ca 0.0000 0.0000 0.0000
2 Re 0.5014 0.5014 0.0000
3 Re 0.7289 0.2289 0.5000
4 Mo 0.2703 0.7703 0.5000

Raw total energy in eV per atom: -9.543
Total magnetic moment in μB per formula unit: 0.00
Formation energy from the elements in eV per atom: 0.5979

***

- Look up the total magnetic moment of the third one.
  0.00 μB per formula unit

***

Please write out number 3 again, unchanged.
DFT (PBEsol) results for crystalline Ba3Ti4Sb4O21 at its relaxed geometry.

Lattice parameters (Å, degrees): 9.0030 9.0030 11.9008 90.36 90.36 60.14
Element x y z (fractional)
1 Ba 0.0939 0.9061 0.7500
2 Ba 0.0969 0.5006 0.2472
3 Ba 0.4994 0.9031 0.2528
4 Ba 0.5006 0.0969 0.7472
5 Ba 0.9031 0.4994 0.7528
6 Ba 0.9061 0.0939 0.2500
7 Ti 0.2493 0.5042 0.9008
8 Ti 0.2497 0.7460 0.0978
9 Ti 0.2540 0.7503 0.4022
10 Ti 0.4958 0.7507 0.5992
11 Ti 0.5042 0.2493 0.4008
12 Ti 0.7460 0.2497 0.5978
13 Ti 0.7503 0.2540 0.9022
14 Ti 0.7507 0.4958 0.0992
15 Sb 0.1666 0.1666 0.0000
16 Sb 0.1666 0.1666 0.5000
17 Sb 0.2601 0.5002 0.5862
18 Sb 0.5002 0.2601 0.0862
19 Sb 0.4998 0.7399 0.9138
20 Sb 0.7399 0.4998 0.4138
21 Sb 0.8334 0.8334 0.0000
22 Sb 0.8334 0.8334 0.5000
23 O 0.0116 0.6697 0.6068
24 O 0.0177 0.6732 0.8974
25 O 0.0179 0.8092 0.1043
26 O 0.0196 0.8145 0.4020
27 O 0.1820 0.3300 0.6074
28 O 0.1847 0.3344 0.9028
29 O 0.1855 0.9804 0.0980
30 O 0.1908 0.9821 0.3957
31 O 0.2873 0.4998 0.7500
32 O 0.2895 0.7105 0.2500
33 O 0.2954 0.7030 0.5737
34 O 0.2972 0.4998 0.4210
35 O 0.2970 0.7046 0.9263
36 O 0.2986 0.4987 0.0728
37 O 0.3268 0.9822 0.6026
38 O 0.3300 0.1820 0.1074
39 O 0.3303 0.9884 0.8932
40 O 0.3344 0.1847 0.4028
41 O 0.4987 0.2986 0.5728
42 O 0.4998 0.2873 0.2500
43 O 0.4998 0.2972 0.9210
44 O 0.5002 0.7028 0.0790
45 O 0.5002 0.7127 0.7500
46 O 0.5013 0.7014 0.4272
47 O 0.6656 0.8153 0.5972
48 O 0.6697 0.0116 0.1068
49 O 0.6700 0.8180 0.8926
50 O 0.6732 0.0177 0.3974
51 O 0.7014 0.5013 0.9272
52 O 0.7030 0.2954 0.0737
53 O 0.7028 0.5002 0.5790
54 O 0.7046 0.2970 0.4263
55 O 0.7105 0.2895 0.7500
56 O 0.7127 0.5002 0.2500
57 O 0.8092 0.0179 0.6043
58 O 0.8145 0.0196 0.9020
59 O 0.8153 0.6656 0.0972
60 O 0.8180 0.6700 0.3926
61 O 0.9804 0.1855 0.5980
62 O 0.9821 0.1908 0.8957
63 O 0.9822 0.3268 0.1026
64 O 0.9884 0.3303 0.3932

Raw total energy in eV per atom: -7.688
Total magnetic moment in μB per formula unit: 0.00
Energy relative to the elements, uncorrected in eV per atom: -2.432

***

- Among the records above, which one has the highest raw total energy?
  Ce6Ni20As13

***

- What is the raw total energy in the second record?
  -6.593 eV per atom